1.
VASP calculation (PBE) on a relaxed In2Co crystal.

abc: 5.384 5.384 13.252
angles: 90.00 90.00 120.00
Atoms (fractional coordinates):
In 0.000 0.500 0.049
In 0.000 0.500 0.284
In 0.163 0.327 0.500
In 0.163 0.837 0.833
In 0.327 0.163 0.167
In 0.500 0.000 0.383
In 0.500 0.000 0.617
In 0.500 0.500 0.716
In 0.500 0.500 0.951
In 0.673 0.837 0.167
In 0.837 0.163 0.833
In 0.837 0.673 0.500
Co 0.000 0.000 0.000
Co 0.000 0.000 0.333
Co 0.000 0.000 0.667
Co 0.000 0.500 0.667
Co 0.500 0.000 0.000
Co 0.500 0.500 0.333

Summary:
- total energy (eV for the cell shown) = -74.9
- symmetry = P6_222



2.
VASP calculation (PBE) on a relaxed LuHfFePb crystal.

abc: 4.827 4.827 4.827
angles: 60.00 60.00 60.00
Atoms (fractional coordinates):
Lu 0.000 0.000 0.000
Hf 0.750 0.750 0.750
Fe 0.500 0.500 0.500
Pb 0.250 0.250 0.250

Summary:
- symmetry = F-43m
- distance to the lowest polymorph of the same formula (meV per atom) = 0.0



3.
VASP calculation (PBE) on a relaxed ErI3 crystal.

abc: 8.062 8.062 8.062
angles: 55.30 55.30 55.30
Atoms (fractional coordinates):
Er 0.000 0.000 0.000
Er 0.500 0.500 0.500
I 0.085 0.750 0.415
I 0.250 0.585 0.915
I 0.415 0.085 0.750
I 0.585 0.915 0.250
I 0.750 0.415 0.085
I 0.915 0.250 0.585

Summary:
- total energy (eV for the cell shown) = -28.9
- symmetry = R-3c